No. 1
Here is MgAs3H at its PBEsol-relaxed geometry from Alexandria. Energies are from meta-GGA SCAN.

Space group: Pm-3m (221)
Magnetization in μB/f.u.: 0.64
Total DFT energy (no corrections) in eV for the cell shown: -63.041
V in Å³/cell: 118

abc: 4.902 4.902 4.902
angles: 90.00 90.00 90.00
Fractional coordinates of all 5 atoms:
Mg: 0.000 0.000 0.000
As: 0.000 0.000 0.500
As: 0.000 0.500 0.000
As: 0.500 0.000 0.000
H: 0.500 0.500 0.500

=====

No. 2
Here is MgAsH16NO10 at its PBEsol-relaxed geometry from Alexandria. Energies are from meta-GGA SCAN.

Space group: Pc (7)
Magnetization in μB/f.u.: 0.00
Total DFT energy (no corrections) in eV for the cell shown: -372.516
V in Å³/cell: 486

abc: 7.040 6.081 13.301
angles: 90.00 121.37 90.00
Fractional coordinates of all 58 atoms:
Mg: 0.000 0.145 0.000
Mg: 0.000 0.855 0.500
As: 0.625 0.486 0.627
As: 0.625 0.514 0.127
H: 0.017 0.292 0.807
H: 0.017 0.708 0.307
H: 0.229 0.469 0.615
H: 0.229 0.531 0.115
H: 0.252 0.344 0.927
H: 0.252 0.656 0.427
H: 0.261 0.003 0.375
H: 0.261 0.997 0.875
H: 0.294 0.112 0.268
H: 0.294 0.888 0.768
H: 0.369 0.107 0.635
H: 0.369 0.893 0.135
H: 0.406 0.250 0.402
H: 0.406 0.750 0.902
H: 0.462 0.138 0.150
H: 0.462 0.862 0.650
H: 0.511 0.001 0.387
H: 0.511 0.999 0.887
H: 0.599 0.293 0.806
H: 0.599 0.707 0.306
H: 0.607 0.348 0.928
H: 0.607 0.652 0.428
H: 0.827 0.134 0.147
H: 0.827 0.866 0.647
H: 0.837 0.208 0.336
H: 0.837 0.792 0.836
H: 0.891 0.111 0.633
H: 0.891 0.889 0.133
H: 0.969 0.308 0.468
H: 0.969 0.692 0.968
H: 0.998 0.471 0.615
H: 0.998 0.529 0.115
N: 0.368 0.096 0.359
N: 0.368 0.904 0.859
O: 0.069 0.475 0.070
O: 0.069 0.525 0.570
O: 0.120 0.240 0.892
O: 0.120 0.760 0.392
O: 0.320 0.052 0.127
O: 0.320 0.948 0.627
O: 0.468 0.352 0.672
O: 0.468 0.648 0.172
O: 0.477 0.493 0.977
O: 0.477 0.507 0.477
O: 0.671 0.246 0.892
O: 0.671 0.754 0.392
O: 0.685 0.258 0.190
O: 0.685 0.742 0.690
O: 0.873 0.356 0.673
O: 0.873 0.644 0.173
O: 0.916 0.047 0.120
O: 0.916 0.953 0.620
O: 0.924 0.167 0.422
O: 0.924 0.833 0.922

=====

No. 3
Here is MgAsH15O11 at its PBEsol-relaxed geometry from Alexandria. Energies are from meta-GGA SCAN.

Space group: C2/c (15)
Magnetization in μB/f.u.: 0.00
Total DFT energy (no corrections) in eV for the cell shown: -722.974
V in Å³/cell: 945

abc: 13.228 13.228 11.277
angles: 91.48 91.48 151.23
Fractional coordinates of all 112 atoms:
Mg: 0.053 0.947 0.750
Mg: 0.224 0.776 0.250
Mg: 0.776 0.224 0.750
Mg: 0.947 0.053 0.250
As: 0.357 0.544 0.953
As: 0.456 0.643 0.547
As: 0.544 0.357 0.453
As: 0.643 0.456 0.047
H: 0.015 0.888 0.992
H: 0.035 0.464 0.369
H: 0.048 0.348 0.629
H: 0.091 0.825 0.120
H: 0.106 0.775 0.844
H: 0.112 0.985 0.508
H: 0.119 0.628 0.858
H: 0.137 0.227 0.476
H: 0.171 0.802 0.521
H: 0.172 0.242 0.801
H: 0.175 0.909 0.380
H: 0.186 0.421 0.311
H: 0.198 0.829 0.979
H: 0.200 0.427 0.173
H: 0.201 0.586 0.844
H: 0.225 0.894 0.656
H: 0.227 0.137 0.976
H: 0.242 0.172 0.301
H: 0.278 0.655 0.390
H: 0.282 0.311 0.680
H: 0.311 0.282 0.180
H: 0.345 0.722 0.110
H: 0.348 0.048 0.129
H: 0.371 0.629 0.750
H: 0.372 0.881 0.642
H: 0.414 0.799 0.656
H: 0.421 0.186 0.811
H: 0.427 0.200 0.673
H: 0.464 0.035 0.869
H: 0.500 0.500 0.000
H: 0.500 0.500 0.500
H: 0.536 0.965 0.131
H: 0.573 0.800 0.327
H: 0.579 0.814 0.189
H: 0.586 0.201 0.344
H: 0.628 0.119 0.358
H: 0.629 0.371 0.250
H: 0.652 0.952 0.871
H: 0.655 0.278 0.890
H: 0.689 0.718 0.820
H: 0.718 0.689 0.320
H: 0.722 0.345 0.610
H: 0.758 0.828 0.699
H: 0.773 0.863 0.024
H: 0.775 0.106 0.344
H: 0.799 0.414 0.156
H: 0.800 0.573 0.827
H: 0.802 0.171 0.021
H: 0.814 0.579 0.689
H: 0.825 0.091 0.620
H: 0.828 0.758 0.199
H: 0.829 0.198 0.479
H: 0.863 0.773 0.524
H: 0.881 0.372 0.142
H: 0.888 0.015 0.492
H: 0.894 0.225 0.156
H: 0.909 0.175 0.880
H: 0.952 0.652 0.371
H: 0.965 0.536 0.631
H: 0.985 0.112 0.008
O: 0.006 0.893 0.568
O: 0.074 0.517 0.831
O: 0.098 0.325 0.235
O: 0.107 0.994 0.932
O: 0.110 0.783 0.376
O: 0.119 0.283 0.903
O: 0.177 0.621 0.366
O: 0.190 0.801 0.608
O: 0.199 0.810 0.892
O: 0.215 0.223 0.747
O: 0.217 0.890 0.124
O: 0.223 0.215 0.247
O: 0.283 0.119 0.403
O: 0.308 0.576 0.646
O: 0.325 0.098 0.735
O: 0.363 0.607 0.088
O: 0.379 0.823 0.134
O: 0.380 0.450 0.548
O: 0.393 0.637 0.412
O: 0.424 0.692 0.854
O: 0.450 0.380 0.048
O: 0.483 0.926 0.669
O: 0.517 0.074 0.331
O: 0.550 0.620 0.952
O: 0.576 0.308 0.146
O: 0.607 0.363 0.588
O: 0.620 0.550 0.452
O: 0.621 0.177 0.866
O: 0.637 0.393 0.912
O: 0.675 0.902 0.265
O: 0.692 0.424 0.354
O: 0.717 0.881 0.597
O: 0.777 0.785 0.753
O: 0.783 0.110 0.876
O: 0.785 0.777 0.253
O: 0.801 0.190 0.108
O: 0.810 0.199 0.392
O: 0.823 0.379 0.634
O: 0.881 0.717 0.097
O: 0.890 0.217 0.624
O: 0.893 0.006 0.068
O: 0.902 0.675 0.765
O: 0.926 0.483 0.169
O: 0.994 0.107 0.432

=====

No. 4
Here is RbMgAsH12O10 at its PBEsol-relaxed geometry from Alexandria. Energies are from meta-GGA SCAN.

Space group: Pmn2_1 (31)
Magnetization in μB/f.u.: 0.00
Total DFT energy (no corrections) in eV for the cell shown: -368.380
V in Å³/cell: 488

abc: 6.967 6.153 11.392
angles: 90.00 90.00 90.00
Fractional coordinates of all 50 atoms:
Rb: 0.000 0.132 0.000
Rb: 0.500 0.868 0.500
Mg: 0.000 0.127 0.652
Mg: 0.500 0.873 0.152
As: 0.000 0.505 0.282
As: 0.500 0.495 0.782
H: 0.000 0.673 0.622
H: 0.000 0.780 0.491
H: 0.117 0.511 0.768
H: 0.176 0.676 0.081
H: 0.178 0.885 0.300
H: 0.205 0.289 0.461
H: 0.241 0.872 0.786
H: 0.259 0.128 0.286
H: 0.295 0.711 0.961
H: 0.322 0.115 0.800
H: 0.324 0.324 0.581
H: 0.383 0.489 0.268
H: 0.500 0.220 0.991
H: 0.500 0.327 0.122
H: 0.617 0.489 0.268
H: 0.676 0.324 0.581
H: 0.678 0.115 0.800
H: 0.705 0.711 0.961
H: 0.741 0.128 0.286
H: 0.759 0.872 0.786
H: 0.795 0.289 0.461
H: 0.822 0.885 0.300
H: 0.824 0.676 0.081
H: 0.883 0.511 0.768
O: 0.000 0.451 0.725
O: 0.000 0.534 0.134
O: 0.000 0.756 0.349
O: 0.000 0.813 0.578
O: 0.203 0.371 0.327
O: 0.205 0.029 0.773
O: 0.223 0.228 0.543
O: 0.277 0.772 0.043
O: 0.295 0.971 0.273
O: 0.297 0.629 0.827
O: 0.500 0.187 0.078
O: 0.500 0.244 0.849
O: 0.500 0.466 0.634
O: 0.500 0.549 0.225
O: 0.703 0.629 0.827
O: 0.705 0.971 0.273
O: 0.723 0.772 0.043
O: 0.777 0.228 0.543
O: 0.795 0.029 0.773
O: 0.797 0.371 0.327

=====

No. 5
Here is MgTlAsH12O10 at its PBEsol-relaxed geometry from Alexandria. Energies are from meta-GGA SCAN.

Space group: Pmn2_1 (31)
Magnetization in μB/f.u.: 0.00
Total DFT energy (no corrections) in eV for the cell shown: -466.960
V in Å³/cell: 483

abc: 6.965 6.155 11.276
angles: 90.00 90.00 90.00
Fractional coordinates of all 50 atoms:
Mg: 0.000 0.129 0.000
Mg: 0.500 0.871 0.500
Tl: 0.000 0.109 0.342
Tl: 0.500 0.891 0.842
As: 0.000 0.500 0.627
As: 0.500 0.500 0.127
H: 0.000 0.677 0.971
H: 0.000 0.782 0.840
H: 0.117 0.514 0.115
H: 0.173 0.675 0.428
H: 0.179 0.878 0.651
H: 0.207 0.287 0.807
H: 0.242 0.878 0.134
H: 0.258 0.122 0.634
H: 0.293 0.713 0.307
H: 0.321 0.122 0.151
H: 0.327 0.325 0.928
H: 0.383 0.486 0.615
H: 0.500 0.218 0.340
H: 0.500 0.323 0.471
H: 0.617 0.486 0.615
H: 0.673 0.325 0.928
H: 0.679 0.122 0.151
H: 0.707 0.713 0.307
H: 0.742 0.122 0.634
H: 0.758 0.878 0.134
H: 0.793 0.287 0.807
H: 0.821 0.878 0.651
H: 0.827 0.675 0.428
H: 0.883 0.514 0.115
O: 0.000 0.454 0.071
O: 0.000 0.534 0.477
O: 0.000 0.750 0.696
O: 0.000 0.818 0.927
O: 0.202 0.035 0.126
O: 0.203 0.366 0.672
O: 0.226 0.227 0.890
O: 0.274 0.773 0.390
O: 0.297 0.634 0.172
O: 0.298 0.965 0.626
O: 0.500 0.182 0.427
O: 0.500 0.250 0.196
O: 0.500 0.466 0.977
O: 0.500 0.546 0.571
O: 0.702 0.965 0.626
O: 0.703 0.634 0.172
O: 0.726 0.773 0.390
O: 0.774 0.227 0.890
O: 0.797 0.366 0.672
O: 0.798 0.035 0.126

=====

No. 6
Here is Mn3AsH at its PBEsol-relaxed geometry from Alexandria. Energies are from meta-GGA SCAN.

Space group: Pm-3m (221)
Magnetization in μB/f.u.: 6.57
Total DFT energy (no corrections) in eV for the cell shown: -79.422
V in Å³/cell: 48

abc: 3.642 3.642 3.642
angles: 90.00 90.00 90.00
Fractional coordinates of all 5 atoms:
Mn: 0.000 0.000 0.500
Mn: 0.000 0.500 0.000
Mn: 0.500 0.000 0.000
As: 0.500 0.500 0.500
H: 0.000 0.000 0.000

=====

No. 7
Here is NaMn2AsH at its PBEsol-relaxed geometry from Alexandria. Energies are from meta-GGA SCAN.

Space group: P4/mmm (123)
Magnetization in μB/f.u.: 8.95
Total DFT energy (no corrections) in eV for the cell shown: -60.067
V in Å³/cell: 81

abc: 4.894 4.894 3.395
angles: 90.00 90.00 90.00
Fractional coordinates of all 5 atoms:
Na: 0.000 0.000 0.000
Mn: 0.000 0.500 0.000
Mn: 0.500 0.000 0.000
As: 0.500 0.500 0.500
H: 0.000 0.000 0.500

=====

No. 8
Here is MnAsH2O5 at its PBEsol-relaxed geometry from Alexandria. Energies are from meta-GGA SCAN.

Space group: C2/c (15)
Magnetization in μB/f.u.: 4.00
Total DFT energy (no corrections) in eV for the cell shown: -180.004
V in Å³/cell: 191

abc: 5.271 5.271 7.450
angles: 103.75 103.75 98.38
Fractional coordinates of all 18 atoms:
Mn: 0.000 0.500 0.000
Mn: 0.500 0.000 0.500
As: 0.064 0.936 0.750
As: 0.936 0.064 0.250
H: 0.378 0.447 0.299
H: 0.447 0.378 0.799
H: 0.553 0.622 0.201
H: 0.622 0.553 0.701
O: 0.161 0.789 0.929
O: 0.169 0.277 0.844
O: 0.211 0.839 0.571
O: 0.277 0.169 0.344
O: 0.390 0.610 0.250
O: 0.610 0.390 0.750
O: 0.723 0.831 0.656
O: 0.789 0.161 0.429
O: 0.831 0.723 0.156
O: 0.839 0.211 0.071

=====

No. 9
Here is ScMnAs2H at its PBEsol-relaxed geometry from Alexandria. Energies are from meta-GGA SCAN.

Space group: P4/mmm (123)
Magnetization in μB/f.u.: 3.21
Total DFT energy (no corrections) in eV for the cell shown: -78.019
V in Å³/cell: 69

abc: 4.597 4.597 3.251
angles: 90.00 90.00 90.00
Fractional coordinates of all 5 atoms:
Sc: 0.000 0.000 0.000
Mn: 0.500 0.500 0.000
As: 0.000 0.500 0.500
As: 0.500 0.000 0.500
H: 0.500 0.500 0.500

=====

No. 10
Here is MnAs2HSe at its PBEsol-relaxed geometry from Alexandria. Energies are from meta-GGA SCAN.

Space group: P4/mmm (123)
Magnetization in μB/f.u.: 1.68
Total DFT energy (no corrections) in eV for the cell shown: -78.659
V in Å³/cell: 94

abc: 4.501 4.501 4.649
angles: 90.00 90.00 90.00
Fractional coordinates of all 5 atoms:
Mn: 0.000 0.000 0.000
As: 0.000 0.500 0.000
As: 0.500 0.000 0.000
H: 0.500 0.500 0.500
Se: 0.000 0.000 0.500

=====

No. 11
Here is YMnAs2H at its PBEsol-relaxed geometry from Alexandria. Energies are from meta-GGA SCAN.

Space group: P4/mmm (123)
Magnetization in μB/f.u.: 4.51
Total DFT energy (no corrections) in eV for the cell shown: -91.201
V in Å³/cell: 79

abc: 4.489 4.489 3.909
angles: 90.00 90.00 90.00
Fractional coordinates of all 5 atoms:
Y: 0.000 0.000 0.000
Mn: 0.500 0.500 0.000
As: 0.000 0.500 0.500
As: 0.500 0.000 0.500
H: 0.000 0.000 0.500

=====

No. 12
Here is Mo2AsH2 at its PBEsol-relaxed geometry from Alexandria. Energies are from meta-GGA SCAN.

Space group: I4/mmm (139)
Magnetization in μB/f.u.: 0.00
Total DFT energy (no corrections) in eV for the cell shown: -96.870
V in Å³/cell: 50

abc: 5.644 5.644 5.644
angles: 148.13 148.13 45.70
Fractional coordinates of all 5 atoms:
Mo: 0.147 0.147 0.000
Mo: 0.853 0.853 0.000
As: 0.500 0.500 0.000
H: 0.250 0.750 0.500
H: 0.750 0.250 0.500

=====

No. 13
Here is MoAs2H at its PBEsol-relaxed geometry from Alexandria. Energies are from meta-GGA SCAN.

Space group: I-42d (122)
Magnetization in μB/f.u.: 0.00
Total DFT energy (no corrections) in eV for the cell shown: -153.657
V in Å³/cell: 104

abc: 5.132 5.132 5.132
angles: 110.17 110.17 108.09
Fractional coordinates of all 8 atoms:
Mo: 0.000 0.000 0.000
Mo: 0.750 0.250 0.500
As: 0.210 0.625 0.085
As: 0.375 0.460 0.585
As: 0.540 0.125 0.915
As: 0.875 0.790 0.415
H: 0.250 0.750 0.500
H: 0.500 0.500 0.000